TbPmTeS2 | PBE | relaxed

POSCAR file:
```
TbPmTeS2
1.0
4.5147 0.0000 0.0000
0.0000 4.5147 0.0000
-2.2573 -2.2573 6.9514
Tb Pm Te S
1 1 1 2
Cartesian
2.2573 2.2573 4.9188 Tb
0.0000 0.0000 1.9610 Pm
2.2573 2.2573 0.0097 Te
2.2573 0.0000 3.5067 S
0.0000 2.2573 3.5067 S
```

Results
Formation energy (no corrections) (meV per atom): -1620
SG: I4mm

---

TbPmTeS | PBE | relaxed

POSCAR file:
```
TbPmTeS
1.0
4.0136 -0.0022 0.0005
-2.0078 3.4785 -0.0011
-2.0062 -1.1561 7.6270
Tb Pm Te S
1 1 1 1
Cartesian
-1.6283 0.9066 6.4717 Tb
2.3865 0.9053 2.9322 Pm
-1.6285 3.2242 0.8235 Te
0.3787 -0.2533 4.7941 S
```

Results
Formation energy (no corrections) (meV per atom): -1564
SG: R3m

---

Tb3Pm4ThS8 | PBE | relaxed

POSCAR file:
```
Tb3Pm4ThS8
1.0
7.9928 0.0000 0.0000
0.0000 7.9940 -0.0049
-3.9964 -3.9927 5.6546
Tb Pm Th S
3 4 1 8
Cartesian
3.9964 3.9970 -0.0025 Tb
1.9982 2.0007 2.8248 Tb
-1.9982 2.0007 2.8248 Tb
3.9964 0.0000 0.0000 Pm
1.9982 -1.9963 2.8273 Pm
0.0000 0.0000 0.0000 Pm
-1.9982 -1.9963 2.8273 Pm
0.0000 3.9970 -0.0025 Th
-1.9699 1.9756 5.6116 S
0.0000 3.9436 2.8243 S
0.0000 0.0581 2.8656 S
1.9699 1.9756 5.6116 S
2.0265 2.0258 0.0381 S
3.9964 3.9433 2.7841 S
3.9964 0.0578 2.8254 S
5.9663 2.0258 0.0381 S
```

Results
Formation energy (no corrections) (meV per atom): -1993
SG: R-3m

---

TbPmTh2S4 | PBE | relaxed

POSCAR file:
```
TbPmTh2S4
1.0
-1.4009 -3.4415 1.5080
5.5340 -3.2955 -2.3798
1.2969 2.3203 6.4999
Tb Pm Th S
1 1 2 4
Cartesian
0.0000 0.0000 0.0000 Tb
2.0666 -3.3685 -0.4359 Pm
-0.0520 -0.5606 4.0040 Th
3.4154 -0.4876 2.0601 Th
0.9539 -1.9631 1.7378 S
4.4761 -2.4536 3.8903 S
2.3529 0.9396 4.3298 S
4.4780 -1.9148 -0.2097 S
```

Results
Formation energy (no corrections) (meV per atom): -1917
SG: P2/m